Entry 1:
Material: MnPd9Pb2
Method: DFT, GGA-PBE
State: relaxed

Total magnetization   4.624 μB/f.u.
Formation energy from the elements   -254 meV per atom

Cell lengths 4.0603, 4.0603, 12.0740 Å; angles 90.00, 90.00, 90.00 degrees
Closest atoms and distances in Å follow each position.
Space group P4/mmm (No. 123)
Symmetry-distinct sites (fractional):
Mn: 0.0000 0.0000 0.0000 [1 per cell]  12 Pd 2.76-2.87
Pd: 0.0000 0.5000 0.1554 [4 per cell]  8 Pd 2.76-2.92, 2 Mn 2.76, 2 Pb 2.90
Pd: 0.0000 0.5000 0.5000 [2 per cell]  8 Pd 2.87-2.89, 4 Pb 2.92
Pd: 0.5000 0.5000 0.0000 [1 per cell]  8 Pd 2.76, 4 Mn 2.87
Pd: 0.5000 0.5000 0.3293 [2 per cell]  4 Pb 2.87, 8 Pd 2.89-2.92
Pb: 0.0000 0.0000 0.3265 [2 per cell]  12 Pd 2.87-2.92

Entry 2:
Material: Ho2MgZn3
Method: DFT, GGA-PBE
State: relaxed

Relative energy among the computed polymorphs   169.2 meV per atom
Total magnetization   0.000 μB/f.u.
Formation energy from the elements   -155 meV per atom

Cell lengths 12.2752, 9.1304, 4.8083 Å; angles 90.00, 90.00, 90.00 degrees
Closest atoms and distances in Å follow each position.
Space group Cmcm (No. 63)
Symmetry-distinct sites (fractional):
Ho: 0.1393 0.2022 0.2500 [8 per cell]  7 Zn 2.98-3.15
Mg: 0.0000 0.3942 0.7500 [4 per cell]  5 Zn 2.85-2.87, 2 Mg 3.08
Zn: 0.0000 0.0820 0.7500 [4 per cell]  2 Zn 2.83, 1 Mg 2.85, 6 Ho 3.11-3.15
Zn: 0.1975 0.5000 0.0000 [8 per cell]  2 Zn 2.40